Entry 1:
Here is an optimized crystal structure of ZrSiHg2 from the Alexandria database. Energies are from PBE-GGA.

Unit cell a=3.3203 b=4.2756 c=5.8300 alpha=90.00 beta=90.00 gamma=90.00
Element x y z (fractional)
1 Si 0.5000 0.5000 0.2500
2 Zr 0.5000 0.5000 0.7500
3 Hg 0.0000 0.0000 0.4958
4 Hg 0.0000 0.0000 0.0042

Computed properties:
ΔE_f (raw) = 0.133 eV/atom
Symmetry = Pmmm (47)
Relative energy among the computed polymorphs = 21.6 kJ/mol of atoms



Entry 2:
Here is an optimized crystal structure of ZrSiHg2 from the Alexandria database. Energies are from PBE-GGA.

Unit cell a=9.7606 b=9.7606 c=9.7606 alpha=18.82 beta=18.82 gamma=18.82
Element x y z (fractional)
1 Hg 0.0024 0.0024 0.0024
2 Hg 0.2450 0.2450 0.2450
3 Si 0.4974 0.4974 0.4974
4 Zr 0.7553 0.7553 0.7553

Computed properties:
ΔE_f (raw) = 0.109 eV/atom
Symmetry = R3m (160)
Relative energy among the computed polymorphs = 19.3 kJ/mol of atoms



Q: Which calculated volume values were calculated for the entries above? A: 20.69; 21.15, in Å³ per atom.